[1]
Density functional theory data (PBE-GGA) for Ac3BiC after structural relaxation.

Values from the calculation:
For the total magnetization, the calculation gives 0.0 μB/cell. Its density of states at the Fermi level is 3.8 states/eV/f.u. As for the energy of formation: -0.27 eV per atom. For the calculated density, the calculation gives 9.16 Mg/m³. The calculated total energy comes out at -26.80 eV per cell. The space group is No. 221.

Unit cell a=5.468 b=5.468 c=5.468 alpha=90.00 beta=90.00 gamma=90.00
Element x y z (fractional)
C (0.000, 0.000, 0.000)
Ac (0.000, 0.500, 0.000)
Ac (0.000, 0.000, 0.500)
Ac (0.500, 0.000, 0.000)
Bi (0.500, 0.500, 0.500)

=====

[2]
Density functional theory data (PBE-GGA) for Ac2BiC2 after structural relaxation.

Values from the calculation:
For the total magnetization, the calculation gives 0.0 μB/cell. Its density of states at the Fermi level is 2.3 states/eV/f.u. As for the energy of formation: -0.36 eV per atom. For the calculated density, the calculation gives 8.21 Mg/m³. The calculated total energy comes out at -64.73 eV per cell. The space group is No. 15.

Unit cell a=4.628 b=8.153 c=7.875 alpha=101.46 beta=107.09 gamma=90.00
Element x y z (fractional)
Ac (0.837, 0.128, 0.282)
Ac (0.446, 0.628, 0.282)
Ac (0.163, 0.872, 0.718)
Ac (0.554, 0.372, 0.718)
Bi (0.800, 0.750, 0.000)
Bi (0.200, 0.250, 0.000)
C (0.911, 0.450, 0.520)
C (0.392, 0.050, 0.480)
C (0.089, 0.550, 0.480)
C (0.608, 0.950, 0.520)

=====

[3]
Density functional theory data (PBE-GGA) for AcBiC after structural relaxation.

Values from the calculation:
For the total magnetization, the calculation gives 0.0 μB/cell. Its density of states at the Fermi level is 2.8 states/eV/f.u. As for the energy of formation: 0.64 eV per atom. For the calculated density, the calculation gives 8.07 Mg/m³. The calculated total energy comes out at -30.59 eV per cell. The space group is No. 1.

Unit cell a=4.156 b=4.169 c=12.409 alpha=80.17 beta=80.25 gamma=61.00
Element x y z (fractional)
C (0.451, 0.613, 0.716)
C (0.142, 0.923, 0.716)
Ac (0.606, 0.072, 0.349)
Ac (0.362, 0.826, 0.084)
Bi (0.840, 0.312, 0.571)
Bi (0.736, 0.206, 0.863)

=====

[4]
Density functional theory data (PBE-GGA) for Ac4Bi2C after structural relaxation.

Values from the calculation:
For the total magnetization, the calculation gives 0.0 μB/cell. Its density of states at the Fermi level is 5.4 states/eV/f.u. As for the energy of formation: -0.47 eV per atom. For the calculated density, the calculation gives 8.77 Mg/m³. The calculated total energy comes out at -36.67 eV per cell. The space group is No. 139.

Unit cell a=5.392 b=5.392 c=9.512 alpha=106.47 beta=106.47 gamma=90.00
Element x y z (fractional)
C (0.000, 0.000, 0.000)
Ac (0.841, 0.841, 0.682)
Ac (0.159, 0.159, 0.318)
Ac (0.000, 0.500, 0.000)
Ac (0.500, 0.000, 0.000)
Bi (0.640, 0.640, 0.280)
Bi (0.360, 0.360, 0.720)

=====

[5]
Density functional theory data (PBE-GGA) for CaAc2Bi after structural relaxation.

Values from the calculation:
For the total magnetization, the calculation gives 0.0 μB/cell. For the excess energy over the best structure of this formula in the dataset, the calculation gives 28.6 kJ/mol of atoms. Its density of states at the Fermi level is 6.2 states/eV/f.u. As for the energy of formation: -0.09 eV per atom. For the calculated density, the calculation gives 5.88 Mg/m³. The calculated total energy comes out at -14.47 eV per cell. The space group is No. 166.

Unit cell a=4.335 b=4.335 c=12.449 alpha=79.97 beta=79.97 gamma=60.00
Element x y z (fractional)
Ac (0.107, 0.107, 0.679)
Ac (0.893, 0.893, 0.321)
Ca (0.000, 0.000, 0.000)
Bi (0.500, 0.500, 0.500)

=====

[6]
Density functional theory data (PBE-GGA) for CaAc2Bi after structural relaxation.

Values from the calculation:
For the total magnetization, the calculation gives 0.0 μB/cell. For the excess energy over the best structure of this formula in the dataset, the calculation gives 3.9 kJ/mol of atoms. Its density of states at the Fermi level is 4.7 states/eV/f.u. As for the energy of formation: -0.35 eV per atom. For the calculated density, the calculation gives 7.81 Mg/m³. The calculated total energy comes out at -15.49 eV per cell. The space group is No. 123.

Unit cell a=5.224 b=5.348 c=5.348 alpha=90.00 beta=90.00 gamma=90.00
Element x y z (fractional)
Ac (0.000, 0.000, 0.500)
Ac (0.000, 0.500, 0.000)
Ca (0.500, 0.000, 0.000)
Bi (0.500, 0.500, 0.500)

=====

[7]
Density functional theory data (PBE-GGA) for Ca2AcBi after structural relaxation.

Values from the calculation:
For the total magnetization, the calculation gives 0.0 μB/cell. For the excess energy over the best structure of this formula in the dataset, the calculation gives 10.7 kJ/mol of atoms. Its density of states at the Fermi level is 2.1 states/eV/f.u. As for the energy of formation: -0.27 eV per atom. For the calculated density, the calculation gives 5.54 Mg/m³. The calculated total energy comes out at -13.06 eV per cell. The space group is No. 160.

Unit cell a=5.428 b=5.428 c=6.825 alpha=66.57 beta=66.57 gamma=60.00
Element x y z (fractional)
Ca (0.035, 0.035, 0.896)
Ca (0.271, 0.271, 0.186)
Ac (0.492, 0.492, 0.524)
Bi (0.702, 0.702, 0.894)

=====

[8]
Density functional theory data (PBE-GGA) for CaAcBi4 after structural relaxation.

Values from the calculation:
For the total magnetization, the calculation gives 0.0 μB/cell. Its density of states at the Fermi level is 2.5 states/eV/f.u. As for the energy of formation: -0.34 eV per atom. For the calculated density, the calculation gives 8.72 Mg/m³. The calculated total energy comes out at -23.66 eV per cell. The space group is No. 216.

Unit cell a=6.673 b=6.673 c=6.673 alpha=60.00 beta=60.00 gamma=60.00
Element x y z (fractional)
Ac (0.000, 0.000, 0.000)
Ca (0.250, 0.250, 0.250)
Bi (0.624, 0.624, 0.127)
Bi (0.624, 0.127, 0.624)
Bi (0.624, 0.624, 0.624)
Bi (0.127, 0.624, 0.624)

=====

[9]
Density functional theory data (PBE-GGA) for CaAc2Bi3 after structural relaxation.

Values from the calculation:
For the total magnetization, the calculation gives 0.0 μB/cell. Its density of states at the Fermi level is 5.4 states/eV/f.u. As for the energy of formation: -0.85 eV per atom. For the calculated density, the calculation gives 7.86 Mg/m³. The calculated total energy comes out at -26.94 eV per cell. The space group is No. 71.

Unit cell a=4.823 b=6.831 c=8.319 alpha=114.24 beta=106.85 gamma=90.00
Element x y z (fractional)
Ca (0.500, 0.500, 0.500)
Ac (0.833, 0.833, 0.165)
Ac (0.167, 0.167, 0.835)
Bi (0.837, 0.337, 0.175)
Bi (0.163, 0.663, 0.825)
Bi (0.500, 0.000, 0.500)

=====

[10]
Density functional theory data (PBE-GGA) for CaAc2Bi after structural relaxation.

Values from the calculation:
For the total magnetization, the calculation gives 0.0 μB/cell. For the excess energy over the best structure of this formula in the dataset, the calculation gives 15.2 kJ/mol of atoms. Its density of states at the Fermi level is 6.0 states/eV/f.u. As for the energy of formation: -0.23 eV per atom. For the calculated density, the calculation gives 7.47 Mg/m³. The calculated total energy comes out at -15.03 eV per cell. The space group is No. 225.

Unit cell a=6.045 b=6.045 c=6.045 alpha=60.00 beta=60.00 gamma=60.00
Element x y z (fractional)
Ac (0.250, 0.250, 0.250)
Ac (0.750, 0.750, 0.750)
Ca (0.000, 0.000, 0.000)
Bi (0.500, 0.500, 0.500)

=====

[11]
Density functional theory data (PBE-GGA) for CaAc2Bi9 after structural relaxation.

Values from the calculation:
For the total magnetization, the calculation gives 0.0 μB/cell. Its density of states at the Fermi level is 6.0 states/eV/f.u. As for the energy of formation: -0.48 eV per atom. For the calculated density, the calculation gives 10.05 Mg/m³. The calculated total energy comes out at -50.91 eV per cell. The space group is No. 123.

Unit cell a=5.006 b=5.006 c=15.659 alpha=90.00 beta=90.00 gamma=90.00
Element x y z (fractional)
Ca (0.000, 0.000, 0.000)
Ac (0.000, 0.000, 0.335)
Ac (0.000, 0.000, 0.665)
Bi (0.500, 0.500, 0.000)
Bi (0.500, 0.500, 0.329)
Bi (0.500, 0.500, 0.671)
Bi (0.500, 0.000, 0.161)
Bi (0.500, 0.000, 0.500)
Bi (0.500, 0.000, 0.839)
Bi (0.000, 0.500, 0.161)
Bi (0.000, 0.500, 0.500)
Bi (0.000, 0.500, 0.839)

=====

[12]
Density functional theory data (PBE-GGA) for Ca2AcBi after structural relaxation.

Values from the calculation:
For the total magnetization, the calculation gives 0.0 μB/cell. For the excess energy over the best structure of this formula in the dataset, the calculation gives 17.5 kJ/mol of atoms. Its density of states at the Fermi level is 4.5 states/eV/f.u. As for the energy of formation: -0.20 eV per atom. For the calculated density, the calculation gives 4.84 Mg/m³. The calculated total energy comes out at -12.78 eV per cell. The space group is No. 166.

Unit cell a=4.537 b=4.537 c=10.269 alpha=77.24 beta=77.24 gamma=60.00
Element x y z (fractional)
Ac (0.500, 0.500, 0.500)
Ca (0.277, 0.277, 0.169)
Ca (0.723, 0.723, 0.831)
Bi (0.000, 0.000, 0.000)